[1]
Pm3Be2Rh5: relaxed, PBE.

It has space group P4/mbm (No. 127), with a = 9.972 Å, b = 9.972 Å, c = 3.448 Å, α = 90.00°, β = 90.00° and γ = 90.00°. The asymmetric unit holds Pm at (0.000, 0.000, 0.000), Pm at (0.175, 0.325, 0.000), Be at (0.118, 0.618, 0.000), Rh at (0.000, 0.500, 0.500) and Rh at (0.070, 0.774, 0.500).

Its crystal system is tetragonal. The calculation puts the total energy at -131.11 eV for the cell shown.


[2]
PmBe17Rh: relaxed, PBE.

It has space group R3m (No. 160, hexagonal axes), with a = 7.5922 Å, b = 7.5922 Å, c = 10.9294 Å, α = 90.00°, β = 90.00° and γ = 120.00°. The asymmetric unit holds Pm at (0.0000, 0.0000, 0.0000), Be at (0.0000, 0.0000, 0.5535), Be at (0.0000, 0.0000, 0.7464), Be at (0.0482, 0.3725, 0.3185), Be at (0.1700, 0.3400, 0.8333), Be at (0.1720, 0.3440, 0.4881), Be at (0.1795, 0.3590, 0.1354) and Rh at (0.0000, 0.0000, 0.3302).

Its crystal system is trigonal. The calculation puts the total energy at -231.02 eV for the cell shown.